First-principles (PBE) data for crystalline YSc2Te at its relaxed geometry, as listed in the Alexandria database.

Cell lengths 6.044, 6.044, 6.044 Å; angles 137.03, 137.03, 62.39 degrees
Element x y z (fractional)
Y 0.000 0.000 0.000
Sc 0.250 0.750 0.500
Sc 0.750 0.250 0.500
Te 0.500 0.500 0.000

DOS at the Fermi energy   4.94 states/eV/cell
Symmetry   No. 139
Formation energy from raw total energies   -1.7 eV/f.u.


First-principles (PBE) data for crystalline FeRu3N at its relaxed geometry, as listed in the Alexandria database.

Cell lengths 4.004, 4.004, 4.004 Å; angles 90.00, 90.00, 90.00 degrees
Element x y z (fractional)
Fe 0.000 0.000 0.000
Ru 0.000 0.500 0.500
Ru 0.500 0.000 0.500
Ru 0.500 0.500 0.000
N 0.500 0.500 0.500

DOS at the Fermi energy   5.05 states/eV/cell
Symmetry   No. 221
Formation energy from raw total energies   1.4 eV/f.u.


First-principles (PBE) data for crystalline WSN3 at its relaxed geometry, as listed in the Alexandria database.

Cell lengths 3.537, 3.537, 3.537 Å; angles 90.00, 90.00, 90.00 degrees
Element x y z (fractional)
W 0.000 0.000 0.000
S 0.500 0.500 0.500
N 0.000 0.500 0.500
N 0.500 0.000 0.500
N 0.500 0.500 0.000

DOS at the Fermi energy   2.91 states/eV/cell
Symmetry   No. 221
Formation energy from raw total energies   8.7 eV/f.u.


Q: Look up the formation energy from raw total energies of the first one.
A: -1.7 eV/f.u.


Please write out number 2 again, unchanged.
First-principles (PBE) data for crystalline FeRu3N at its relaxed geometry, as listed in the Alexandria database.

Cell lengths 4.004, 4.004, 4.004 Å; angles 90.00, 90.00, 90.00 degrees
Element x y z (fractional)
Fe 0.000 0.000 0.000
Ru 0.000 0.500 0.500
Ru 0.500 0.000 0.500
Ru 0.500 0.500 0.000
N 0.500 0.500 0.500

DOS at the Fermi energy   5.05 states/eV/cell
Symmetry   No. 221
Formation energy from raw total energies   1.4 eV/f.u.


Q: Which value of DOS at the Fermi energy does entry 1 give?
A: 4.94 states/eV/cell


Q: Number 2 is which compound?
A: FeRu3N